Below is FePt2Pb after structural relaxation, with properties calculated at the GGA-PBE level.

Structure (CIF):
```
data_FePt2Pb
_chemical_formula_sum 'Fe4 Pt8 Pb4'
_symmetry_space_group_name_H-M 'I -4 2 d'
_symmetry_Int_Tables_number 122
_symmetry_space_group_name_Hall 'I -4 2bw'
_cell_length_a 4.0152
_cell_length_b 4.0152
_cell_length_c 18.5249
_cell_angle_alpha 90.00
_cell_angle_beta 90.00
_cell_angle_gamma 90.00
loop_
_atom_site_label
_atom_site_fract_x
_atom_site_fract_y
_atom_site_fract_z
Fe1 0.0000 0.0000 0.0000
Pt1 0.2280 0.2500 0.1250
Pb1 0.0000 0.0000 0.5000
```

Values from the calculation:
Energy of formation from the pure elements = 258 meV/atom
Density = 14.53 Mg/m³
VASP energy = -23.22 eV per formula unit
Crystal system = tetragonal